No. 1
This record from the Alexandria database describes a relaxed structure of CuIrBr. The functional is GGA-PBE.

```
3
Lattice="-1.5091 1.5091 5.8670 1.5091 -1.5091 5.8670 1.5091 1.5091 -5.8670" Properties=species:S:1:pos:R:3 pbc="T T T"
Cu 0.0000 0.0000 0.0000
Ir 0.0000 0.0000 4.4517
Br 0.0000 0.0000 8.4501
```

Results
The density of states at the Fermi level is 4.6 states/eV per cell. For the energy above the most stable polymorph in this dataset, the calculation gives 128 meV per atom. The raw formation energy is 0.79 eV per atom. As for the mass density: 10.43 Mg/m³.

=====

No. 2
This record from the Alexandria database describes a relaxed structure of PbWS2. The functional is GGA-PBE.

```
4
Lattice="1.6522 0.9539 9.1351 -1.6522 0.9539 9.1351 0.0000 -1.9078 9.1351" Properties=species:S:1:pos:R:3 pbc="T T T"
Pb 0.0000 0.0000 0.0000
W 0.0000 0.0000 13.7027
S 0.0000 0.0000 3.0279
S 0.0000 0.0000 24.3775
```

Results
The density of states at the Fermi level is 1.6 states/eV per cell. The raw formation energy is -0.36 eV per atom. As for the mass density: 8.75 Mg/m³.

=====

No. 3
This record from the Alexandria database describes a relaxed structure of Yb2ZnRh. The functional is GGA-PBE.

```
4
Lattice="0.0000 3.4368 3.4368 3.4368 0.0000 3.4368 3.4368 3.4368 0.0000" Properties=species:S:1:pos:R:3 pbc="T T T"
Yb 1.7184 1.7184 1.7184
Yb 5.1552 5.1552 5.1552
Zn 0.0000 0.0000 0.0000
Rh 3.4368 3.4368 3.4368
```

Results
The density of states at the Fermi level is 2.1 states/eV per cell. As for the mass density: 10.52 Mg/m³. Its energy of formation is -1.9 eV/f.u.